# 1
## TlPO3 (PBE-GGA)

Data for a geometry-optimized TlPO3 structure.

Values from the calculation:
The total DFT energy (no corrections) is -6.370 eV/atom. The density is 5.43 g/cm3. As for the magnetization: 0.0 μB/f.u.

Cell: 7.787 7.787 11.441 Å, 90.00 90.00 90.00°
Element x y z (fractional)
Tl 0.000 0.000 0.166
Tl 0.000 0.000 0.834
Tl 0.000 0.500 0.219
Tl 0.000 0.500 0.719
Tl 0.500 0.000 0.281
Tl 0.500 0.000 0.781
Tl 0.500 0.500 0.334
Tl 0.500 0.500 0.666
P 0.155 0.216 0.469
P 0.216 0.845 0.531
P 0.284 0.345 0.969
P 0.345 0.716 0.031
P 0.655 0.284 0.031
P 0.716 0.655 0.969
P 0.784 0.155 0.531
P 0.845 0.784 0.469
O 0.052 0.802 0.449
O 0.127 0.304 0.040
O 0.196 0.373 0.540
O 0.198 0.052 0.551
O 0.198 0.770 0.652
O 0.230 0.198 0.348
O 0.270 0.698 0.152
O 0.302 0.270 0.848
O 0.302 0.552 0.949
O 0.304 0.873 0.960
O 0.373 0.804 0.460
O 0.448 0.302 0.051
O 0.552 0.698 0.051
O 0.627 0.196 0.460
O 0.696 0.127 0.960
O 0.698 0.448 0.949
O 0.698 0.730 0.848
O 0.730 0.302 0.152
O 0.770 0.802 0.348
O 0.802 0.230 0.652
O 0.802 0.948 0.551
O 0.804 0.627 0.540
O 0.873 0.696 0.040
O 0.948 0.198 0.449

=====

# 2
## TlPO4 (PBE-GGA)

Data for a geometry-optimized TlPO4 structure.

Values from the calculation:
The total DFT energy (no corrections) is -6.155 eV/atom. The density is 5.85 g/cm3. As for the magnetization: 0.0 μB/f.u.

Cell: 5.005 5.005 6.823 Å, 90.00 90.00 96.20°
Element x y z (fractional)
Tl 0.115 0.885 0.750
Tl 0.885 0.115 0.250
P 0.311 0.689 0.250
P 0.689 0.311 0.750
O 0.179 0.821 0.073
O 0.179 0.821 0.427
O 0.259 0.378 0.250
O 0.378 0.259 0.750
O 0.622 0.741 0.250
O 0.741 0.622 0.750
O 0.821 0.179 0.573
O 0.821 0.179 0.927

=====

# 3
## Tl2P2O5 (PBE-GGA)

Data for a geometry-optimized Tl2P2O5 structure.

Values from the calculation:
The total DFT energy (no corrections) is -5.649 eV/atom. The density is 6.15 g/cm3. As for the magnetization: 0.0 μB/f.u.

Cell: 6.024 6.024 6.673 Å, 103.60 103.60 39.34°
Element x y z (fractional)
Tl 0.095 0.095 0.339
Tl 0.905 0.905 0.661
P 0.344 0.344 0.073
P 0.656 0.656 0.927
O 0.192 0.192 0.978
O 0.374 0.374 0.309
O 0.500 0.500 0.000
O 0.626 0.626 0.691
O 0.808 0.808 0.022

=====

# 4
## TlPO3 (PBE-GGA)

Data for a geometry-optimized TlPO3 structure.

Values from the calculation:
The total DFT energy (no corrections) is -6.354 eV/atom. The density is 4.86 g/cm3. As for the magnetization: 0.0 μB/f.u.

Cell: 7.620 7.620 12.236 Å, 106.85 106.85 60.29°
Element x y z (fractional)
Tl 0.000 0.500 0.000
Tl 0.132 0.683 0.502
Tl 0.317 0.868 0.998
Tl 0.500 0.000 0.500
Tl 0.683 0.132 0.002
Tl 0.868 0.317 0.498
P 0.189 0.811 0.250
P 0.352 0.420 0.755
P 0.420 0.352 0.255
P 0.580 0.648 0.745
P 0.648 0.580 0.245
P 0.811 0.189 0.750
O 0.055 0.869 0.136
O 0.131 0.945 0.364
O 0.219 0.381 0.643
O 0.227 0.582 0.253
O 0.297 0.458 0.870
O 0.381 0.219 0.143
O 0.390 0.610 0.750
O 0.418 0.773 0.247
O 0.458 0.297 0.370
O 0.542 0.703 0.630
O 0.582 0.227 0.753
O 0.610 0.390 0.250
O 0.619 0.781 0.857
O 0.703 0.542 0.130
O 0.773 0.418 0.747
O 0.781 0.619 0.357
O 0.869 0.055 0.636
O 0.945 0.131 0.864

=====

# 5
## TlP2O2 (PBE-GGA)

Data for a geometry-optimized TlP2O2 structure.

Values from the calculation:
The total DFT energy (no corrections) is -3.774 eV/atom. The density is 4.66 g/cm3. As for the magnetization: 0.2 μB/f.u.

Cell: 3.960 3.960 6.783 Å, 90.00 90.00 90.00°
Element x y z (fractional)
Tl 0.000 0.000 0.000
P 0.000 0.000 0.500
P 0.500 0.500 0.500
O 0.000 0.500 0.000
O 0.500 0.000 0.000

=====

# 6
## Tl4PO5 (PBE-GGA)

Data for a geometry-optimized Tl4PO5 structure.

Values from the calculation:
The total DFT energy (no corrections) is -5.045 eV/atom. The density is 7.96 g/cm3. As for the magnetization: 1.1 μB/f.u.

Cell: 6.839 6.839 6.839 Å, 96.77 96.77 139.85°
Element x y z (fractional)
Tl 0.048 0.277 0.325
Tl 0.277 0.952 0.229
Tl 0.723 0.048 0.771
Tl 0.952 0.723 0.675
P 0.483 0.483 0.000
O 0.263 0.284 0.748
O 0.284 0.536 0.021
O 0.515 0.263 0.979
O 0.536 0.515 0.252
O 0.824 0.824 0.000